1.
# PBE-GGA AlIrRu2, optimized geometry
# VASP energy in Ry/atom: -0.592
data_AlIrRu2
_chemical_formula_sum 'Al1 Ir1 Ru2'
_symmetry_space_group_name_H-M 'P 1'
_symmetry_Int_Tables_number 1
_symmetry_space_group_name_Hall 'P 1'
_cell_length_a 4.7380
_cell_length_b 4.7380
_cell_length_c 4.7380
_cell_angle_alpha 132.75
_cell_angle_beta 132.75
_cell_angle_gamma 69.05
loop_
_atom_site_label
_atom_site_fract_x
_atom_site_fract_y
_atom_site_fract_z
Ru1 0.0000 0.0000 0.0000
Ru2 0.5000 0.5000 0.0000
Al1 0.2500 0.7500 0.5000
Ir1 0.7500 0.2500 0.5000

2.
# PBE-GGA AlIr2Ru, optimized geometry
# VASP energy in Ry/atom: -0.576
data_AlIr2Ru
_chemical_formula_sum 'Al1 Ir2 Ru1'
_symmetry_space_group_name_H-M 'P 1'
_symmetry_Int_Tables_number 1
_symmetry_space_group_name_Hall 'P 1'
_cell_length_a 2.8534
_cell_length_b 4.5211
_cell_length_c 4.4625
_cell_angle_alpha 90.00
_cell_angle_beta 90.00
_cell_angle_gamma 90.00
loop_
_atom_site_label
_atom_site_fract_x
_atom_site_fract_y
_atom_site_fract_z
Ru1 0.5000 0.0000 0.5000
Ir1 0.0000 0.0000 0.0000
Ir2 0.5000 0.5000 0.0000
Al1 0.0000 0.5000 0.5000

3.
# PBE-GGA AlIr2Ru, optimized geometry
# VASP energy in Ry/atom: -0.585
data_AlIr2Ru
_chemical_formula_sum 'Al1 Ir2 Ru1'
_symmetry_space_group_name_H-M 'P 1'
_symmetry_Int_Tables_number 1
_symmetry_space_group_name_Hall 'P 1'
_cell_length_a 2.7750
_cell_length_b 3.7768
_cell_length_c 5.4584
_cell_angle_alpha 90.00
_cell_angle_beta 90.00
_cell_angle_gamma 90.00
loop_
_atom_site_label
_atom_site_fract_x
_atom_site_fract_y
_atom_site_fract_z
Ir1 0.0000 0.0000 0.9845
Ir2 0.5000 0.5000 0.2675
Al1 0.5000 0.5000 0.7591
Ru1 0.0000 0.0000 0.4889

4.
# PBE-GGA AlIr2Ru, optimized geometry
# VASP energy in Ry/atom: -0.564
data_AlIr2Ru
_chemical_formula_sum 'Al1 Ir2 Ru1'
_symmetry_space_group_name_H-M 'P 1'
_symmetry_Int_Tables_number 1
_symmetry_space_group_name_Hall 'P 1'
_cell_length_a 2.7509
_cell_length_b 2.7509
_cell_length_c 8.8209
_cell_angle_alpha 90.00
_cell_angle_beta 90.00
_cell_angle_gamma 119.32
loop_
_atom_site_label
_atom_site_fract_x
_atom_site_fract_y
_atom_site_fract_z
Ru1 0.0000 0.0000 0.5114
Ir1 0.5000 0.5000 0.2550
Ir2 0.0000 0.0000 0.9847
Al1 0.5000 0.5000 0.7489

5.
# PBE-GGA AlIr2Ru, optimized geometry
# VASP energy in Ry/atom: -0.592
data_AlIr2Ru
_chemical_formula_sum 'Al1 Ir2 Ru1'
_symmetry_space_group_name_H-M 'P 1'
_symmetry_Int_Tables_number 1
_symmetry_space_group_name_Hall 'P 1'
_cell_length_a 2.7688
_cell_length_b 2.7688
_cell_length_c 7.3846
_cell_angle_alpha 90.00
_cell_angle_beta 90.00
_cell_angle_gamma 90.00
loop_
_atom_site_label
_atom_site_fract_x
_atom_site_fract_y
_atom_site_fract_z
Al1 0.5000 0.5000 0.7500
Ir1 0.0000 0.0000 0.9963
Ir2 0.0000 0.0000 0.5037
Ru1 0.5000 0.5000 0.2500

6.
# PBE-GGA AlIr2Ru, optimized geometry
# VASP energy in Ry/atom: -0.589
data_AlIr2Ru
_chemical_formula_sum 'Al1 Ir2 Ru1'
_symmetry_space_group_name_H-M 'P 1'
_symmetry_Int_Tables_number 1
_symmetry_space_group_name_Hall 'P 1'
_cell_length_a 4.6878
_cell_length_b 4.6878
_cell_length_c 4.6618
_cell_angle_alpha 79.58
_cell_angle_beta 79.58
_cell_angle_gamma 34.46
loop_
_atom_site_label
_atom_site_fract_x
_atom_site_fract_y
_atom_site_fract_z
Ir1 0.7513 0.7513 0.7360
Ir2 0.9982 0.9982 0.0114
Ru1 0.4993 0.4993 0.5131
Al1 0.2511 0.2511 0.2395

7.
# PBE-GGA AlIr2Ru, optimized geometry
# VASP energy in Ry/atom: -0.588
data_AlIr2Ru
_chemical_formula_sum 'Al1 Ir2 Ru1'
_symmetry_space_group_name_H-M 'P 1'
_symmetry_Int_Tables_number 1
_symmetry_space_group_name_Hall 'P 1'
_cell_length_a 4.7025
_cell_length_b 4.7025
_cell_length_c 4.6587
_cell_angle_alpha 79.79
_cell_angle_beta 79.79
_cell_angle_gamma 34.18
loop_
_atom_site_label
_atom_site_fract_x
_atom_site_fract_y
_atom_site_fract_z
Ru1 0.7500 0.7500 0.7500
Ir1 0.9982 0.9982 0.9995
Ir2 0.5018 0.5018 0.5005
Al1 0.2500 0.2500 0.2500

8.
# PBE-GGA AlIr2Ru, optimized geometry
# VASP energy in Ry/atom: -0.584
data_AlIr2Ru
_chemical_formula_sum 'Al1 Ir2 Ru1'
_symmetry_space_group_name_H-M 'P 1'
_symmetry_Int_Tables_number 1
_symmetry_space_group_name_Hall 'P 1'
_cell_length_a 4.0590
_cell_length_b 2.7600
_cell_length_c 5.3625
_cell_angle_alpha 72.11
_cell_angle_beta 90.00
_cell_angle_gamma 90.00
loop_
_atom_site_label
_atom_site_fract_x
_atom_site_fract_y
_atom_site_fract_z
Ir1 0.0000 0.6081 0.5043
Ir2 0.0000 0.8919 0.9957
Ru1 0.5000 0.2500 0.2500
Al1 0.5000 0.7500 0.7500

9.
# PBE-GGA Al2IrRu2, optimized geometry
# VASP energy in Ry/atom: -0.534
data_Al2IrRu2
_chemical_formula_sum 'Al4 Ir2 Ru4'
_symmetry_space_group_name_H-M 'P 1'
_symmetry_Int_Tables_number 1
_symmetry_space_group_name_Hall 'P 1'
_cell_length_a 6.9291
_cell_length_b 6.9291
_cell_length_c 2.9222
_cell_angle_alpha 90.00
_cell_angle_beta 90.00
_cell_angle_gamma 90.00
loop_
_atom_site_label
_atom_site_fract_x
_atom_site_fract_y
_atom_site_fract_z
Al1 0.3661 0.8661 0.0000
Al2 0.6339 0.1339 0.0000
Al3 0.1339 0.3661 0.0000
Al4 0.8661 0.6339 0.0000
Ir1 0.5000 0.5000 0.0000
Ir2 0.0000 0.0000 0.0000
Ru1 0.1667 0.6667 0.5000
Ru2 0.3333 0.1667 0.5000
Ru3 0.6667 0.8333 0.5000
Ru4 0.8333 0.3333 0.5000

10.
# PBE-GGA Al4Ir3Ru, optimized geometry
# VASP energy in Ry/atom: -0.535
data_Al4Ir3Ru
_chemical_formula_sum 'Al4 Ir3 Ru1'
_symmetry_space_group_name_H-M 'P 1'
_symmetry_Int_Tables_number 1
_symmetry_space_group_name_Hall 'P 1'
_cell_length_a 3.0084
_cell_length_b 3.0084
_cell_length_c 12.0452
_cell_angle_alpha 90.00
_cell_angle_beta 90.00
_cell_angle_gamma 90.00
loop_
_atom_site_label
_atom_site_fract_x
_atom_site_fract_y
_atom_site_fract_z
Ir1 0.5000 0.5000 0.5000
Ir2 0.5000 0.5000 0.2501
Ir3 0.5000 0.5000 0.7499
Al1 0.0000 0.0000 0.6275
Al2 0.0000 0.0000 0.8827
Al3 0.0000 0.0000 0.3725
Al4 0.0000 0.0000 0.1173
Ru1 0.5000 0.5000 0.0000

11.
# PBE-GGA AlIr2Ru, optimized geometry
# VASP energy in Ry/atom: -0.581
data_AlIr2Ru
_chemical_formula_sum 'Al1 Ir2 Ru1'
_symmetry_space_group_name_H-M 'P 1'
_symmetry_Int_Tables_number 1
_symmetry_space_group_name_Hall 'P 1'
_cell_length_a 5.2053
_cell_length_b 5.2053
_cell_length_c 5.2053
_cell_angle_alpha 147.92
_cell_angle_beta 130.14
_cell_angle_gamma 60.53
loop_
_atom_site_label
_atom_site_fract_x
_atom_site_fract_y
_atom_site_fract_z
Al1 0.7494 0.2494 0.5000
Ru1 0.5243 0.5243 0.0000
Ir1 0.9739 0.9739 0.0000
Ir2 0.2523 0.7523 0.5000

12.
# PBE-GGA AlIrRu2, optimized geometry
# VASP energy in Ry/atom: -0.591
data_AlIrRu2
_chemical_formula_sum 'Al1 Ir1 Ru2'
_symmetry_space_group_name_H-M 'P 1'
_symmetry_Int_Tables_number 1
_symmetry_space_group_name_Hall 'P 1'
_cell_length_a 4.6708
_cell_length_b 4.6708
_cell_length_c 4.6537
_cell_angle_alpha 80.13
_cell_angle_beta 80.13
_cell_angle_gamma 34.42
loop_
_atom_site_label
_atom_site_fract_x
_atom_site_fract_y
_atom_site_fract_z
Ir1 0.2506 0.2506 0.2622
Ru1 0.7474 0.7474 0.7635
Ru2 0.0006 0.0006 0.9852
Al1 0.5014 0.5014 0.4892

For the records above, the corresponding ΔH_f (0 K) values read -0.2619, -0.1560, -0.2793, 0.0151, -0.3630, -0.3324, -0.3211, -0.2623, -0.2878, -0.9307, -0.2154, -0.2565 eV/atom.